No. 1
This record from the Alexandria database describes a relaxed HgMoRu2 crystal. The functional is GGA-PBE.

Formation energy, eV/f.u.: 2.86
E_tot, eV/atom: -6.707
SG: F-43m, No. 216

Cell: 4.5126 4.5126 4.5126 Å, 60.00 60.00 60.00°
Closest atoms and distances in Å follow each position.
Positions (direct):
Ru (0.2500, 0.2500, 0.2500)  4 Hg 2.76, 4 Ru 2.76
Ru (0.0000, 0.0000, 0.0000)  4 Mo 2.76, 4 Ru 2.76
Hg (0.5000, 0.5000, 0.5000)  4 Ru 2.76, 4 Mo 2.76
Mo (0.7500, 0.7500, 0.7500)  4 Ru 2.76, 4 Hg 2.76

---

No. 2
This record from the Alexandria database describes a relaxed Hg2MoRu crystal. The functional is GGA-PBE.

Formation energy, eV/f.u.: 2.19
E_tot, eV/atom: -4.629
SG: Cm, No. 8

Cell: 4.9305 4.9305 5.2051 Å, 80.67 80.67 34.95°
Closest atoms and distances in Å follow each position.
Positions (direct):
Mo (0.5103, 0.5103, 0.4635)  3 Ru 2.66-2.83, 3 Hg 2.86-2.94, 2 Mo 2.96
Hg (0.7548, 0.7548, 0.7495)  5 Hg 2.78-2.97, 2 Ru 2.84, 3 Mo 2.94-2.99
Hg (0.9938, 0.9938, 0.9983)  5 Hg 2.78-2.97, 2 Mo 2.86, 3 Ru 2.98
Ru (0.2412, 0.2412, 0.2886)  3 Mo 2.66-2.83, 2 Hg 2.84, 2 Ru 2.96

---

| no. | V (Å³/cell) |
| --- | --- |
| 1 | 65.0 |
| 2 | 71.4 |